Computed, not measured: TeRu2W after structural relaxation at the GGA-PBEsol level of DFT.

abc: 4.449 4.449 4.449
angles: 60.00 60.00 60.00
Atoms (fractional coordinates):
1 Ru 0.000 0.000 0.000
2 Ru 0.750 0.750 0.750
3 Te 0.500 0.500 0.500
4 W 0.250 0.250 0.250

Total DFT energy (no corrections)   -35.48 eV for the cell shown
Formation energy (no corrections)   53 kJ per mole of atoms